This record from Alexandria describes MgBeVO4 after structural relaxation. The functional is PBE with a Hubbard U.

Summary:
For the final energy, the calculation gives -6.996 eV per atom. The volume comes out at 10.0 Å³ per atom.

Lattice parameters (Å, degrees): 5.063 5.063 5.958 90.00 90.00 113.19
Sites, in units of the cell vectors:
Mg1 0.000 0.000 0.000
Mg2 0.000 0.000 0.500
Be1 0.359 0.641 0.750
Be2 0.641 0.359 0.250
V1 0.345 0.655 0.250
V2 0.655 0.345 0.750
O1 0.251 0.749 0.520
O2 0.251 0.749 0.980
O3 0.261 0.282 0.750
O4 0.282 0.261 0.250
O5 0.718 0.739 0.750
O6 0.739 0.718 0.250
O7 0.749 0.251 0.020
O8 0.749 0.251 0.480